No. 1
Pm2YHg: relaxed, GGA-PBE.

Unit cell a=7.027 b=10.449 c=6.787 alpha=90.00 beta=90.00 gamma=90.00
Atoms (fractional coordinates):
Pm (0.204, 0.041, 0.190)
Pm (0.204, 0.459, 0.190)
Pm (0.296, 0.541, 0.690)
Pm (0.296, 0.959, 0.690)
Pm (0.704, 0.041, 0.310)
Pm (0.704, 0.459, 0.310)
Pm (0.796, 0.541, 0.810)
Pm (0.796, 0.959, 0.810)
Y (0.001, 0.750, 0.394)
Y (0.499, 0.250, 0.894)
Y (0.501, 0.750, 0.106)
Y (0.999, 0.250, 0.606)
Hg (0.081, 0.750, 0.954)
Hg (0.419, 0.250, 0.454)
Hg (0.581, 0.750, 0.546)
Hg (0.919, 0.250, 0.046)

## Properties
crystal system	orthorhombic
DFT total energy	-17.04	eV/f.u.
size of the total moment	0.00	μB/cell



No. 2
Pm2YHg8: relaxed, GGA-PBE.

Unit cell a=8.406 b=8.406 c=7.293 alpha=109.24 beta=109.24 gamma=35.00
Atoms (fractional coordinates):
Pm (0.211, 0.211, 0.156)
Pm (0.789, 0.789, 0.844)
Y (0.500, 0.500, 0.500)
Hg (0.021, 0.021, 0.229)
Hg (0.151, 0.151, 0.669)
Hg (0.332, 0.332, 0.606)
Hg (0.405, 0.405, 0.051)
Hg (0.595, 0.595, 0.949)
Hg (0.668, 0.668, 0.394)
Hg (0.849, 0.849, 0.331)
Hg (0.979, 0.979, 0.771)

## Properties
crystal system	monoclinic
DFT total energy	-22.16	eV/f.u.
size of the total moment	0.00	μB/cell